VASP calculation (PBE) on a geometry-optimized CaLaCd4 structure. Values from VASP.

Quantum ESPRESSO input file:
```
&SYSTEM
  ibrav = 0, nat = 6, ntyp = 3
/
ATOMIC_SPECIES
Ca 40.08 Ca.upf
La 138.91 La.upf
Cd 112.41 Cd.upf
ATOMIC_POSITIONS crystal
Ca 0.000 0.000 0.000
La 0.250 0.250 0.250
Cd 0.126 0.625 0.625
Cd 0.625 0.126 0.625
Cd 0.625 0.625 0.126
Cd 0.625 0.625 0.625
CELL_PARAMETERS angstrom
0.000 4.280 4.280
4.280 0.000 4.280
4.280 4.280 0.000
```

Output
The symmetry is F-43m. For the calculated volume, the calculation gives 157 Å³/cell.

***

VASP calculation (PBE) on a geometry-optimized CaLa2Cd2 structure. Values from VASP.

Quantum ESPRESSO input file:
```
&SYSTEM
  ibrav = 0, nat = 5, ntyp = 3
/
ATOMIC_SPECIES
Ca 40.08 Ca.upf
La 138.91 La.upf
Cd 112.41 Cd.upf
ATOMIC_POSITIONS crystal
Ca 0.000 0.000 0.000
La 0.392 0.392 0.000
La 0.608 0.608 0.000
Cd 0.250 0.750 0.500
Cd 0.750 0.250 0.500
CELL_PARAMETERS angstrom
-2.494 2.494 6.927
2.494 -2.494 6.927
2.494 2.494 -6.927
```

Output
The symmetry is I4/mmm. For the calculated volume, the calculation gives 172 Å³/cell.

***

VASP calculation (PBE) on a geometry-optimized CaLa6Cd2 structure. Values from VASP.

Quantum ESPRESSO input file:
```
&SYSTEM
  ibrav = 0, nat = 9, ntyp = 3
/
ATOMIC_SPECIES
Ca 40.08 Ca.upf
La 138.91 La.upf
Cd 112.41 Cd.upf
ATOMIC_POSITIONS crystal
Ca 0.000 0.000 0.000
La 0.016 0.016 0.340
La 0.307 0.307 0.410
La 0.310 0.310 0.126
La 0.690 0.690 0.874
La 0.693 0.693 0.590
La 0.984 0.984 0.660
Cd 0.362 0.362 0.799
Cd 0.638 0.638 0.201
CELL_PARAMETERS angstrom
6.749 -1.933 0.000
6.749 1.933 0.000
-4.059 0.000 11.794
```

Output
The symmetry is C2/m. For the calculated volume, the calculation gives 308 Å³/cell.

***

VASP calculation (PBE) on a geometry-optimized Ca2La3Cd3 structure. Values from VASP.

Quantum ESPRESSO input file:
```
&SYSTEM
  ibrav = 0, nat = 8, ntyp = 3
/
ATOMIC_SPECIES
Ca 40.08 Ca.upf
La 138.91 La.upf
Cd 112.41 Cd.upf
ATOMIC_POSITIONS crystal
Ca 0.228 0.228 0.000
Ca 0.772 0.772 0.000
La 0.000 0.000 0.000
La 0.383 0.883 0.500
La 0.617 0.117 0.500
Cd 0.117 0.617 0.500
Cd 0.500 0.500 0.000
Cd 0.883 0.383 0.500
CELL_PARAMETERS angstrom
-1.946 2.852 11.813
1.946 -2.852 11.813
1.946 2.852 -11.813
```

Output
The symmetry is Immm. For the calculated volume, the calculation gives 262 Å³/cell.

***

VASP calculation (PBE) on a geometry-optimized Ca2LaCd structure. Values from VASP.

Quantum ESPRESSO input file:
```
&SYSTEM
  ibrav = 0, nat = 8, ntyp = 3
/
ATOMIC_SPECIES
Ca 40.08 Ca.upf
La 138.91 La.upf
Cd 112.41 Cd.upf
ATOMIC_POSITIONS crystal
Ca 0.072 0.625 0.947
Ca 0.375 0.322 0.447
Ca 0.678 0.125 0.053
Ca 0.875 0.928 0.553
La 0.250 0.750 0.500
La 0.500 0.500 0.000
Cd 0.000 0.000 0.000
Cd 0.750 0.250 0.500
CELL_PARAMETERS angstrom
-4.629 4.629 3.434
4.629 -4.629 3.434
4.629 4.629 -3.434
```

Output
The symmetry is I-42d. For the calculated volume, the calculation gives 294 Å³/cell.

***

VASP calculation (PBE) on a geometry-optimized Ca4La9Cd11 structure. Values from VASP.

Quantum ESPRESSO input file:
```
&SYSTEM
  ibrav = 0, nat = 24, ntyp = 3
/
ATOMIC_SPECIES
Ca 40.08 Ca.upf
La 138.91 La.upf
Cd 112.41 Cd.upf
ATOMIC_POSITIONS crystal
Ca 0.082 0.254 0.000
Ca 0.254 0.082 0.000
Ca 0.746 0.918 0.000
Ca 0.918 0.746 0.000
La 0.000 0.000 0.000
La 0.122 0.657 0.000
La 0.295 0.475 0.000
La 0.343 0.878 0.000
La 0.475 0.295 0.000
La 0.525 0.705 0.000
La 0.657 0.122 0.000
La 0.705 0.525 0.000
La 0.878 0.343 0.000
Cd 0.087 0.451 0.500
Cd 0.128 0.872 0.500
Cd 0.274 0.274 0.500
Cd 0.324 0.676 0.500
Cd 0.451 0.087 0.500
Cd 0.500 0.500 0.500
Cd 0.549 0.913 0.500
Cd 0.676 0.324 0.500
Cd 0.726 0.726 0.500
Cd 0.872 0.128 0.500
Cd 0.913 0.549 0.500
CELL_PARAMETERS angstrom
8.593 -11.727 0.000
8.593 11.727 0.000
0.000 0.000 3.610
```

Output
The symmetry is Cmmm. For the calculated volume, the calculation gives 728 Å³/cell.

***

VASP calculation (PBE) on a geometry-optimized CaLa14Cd structure. Values from VASP.

Quantum ESPRESSO input file:
```
&SYSTEM
  ibrav = 0, nat = 16, ntyp = 3
/
ATOMIC_SPECIES
Ca 40.08 Ca.upf
La 138.91 La.upf
Cd 112.41 Cd.upf
ATOMIC_POSITIONS crystal
Ca 0.000 0.000 0.000
La 0.000 0.000 0.500
La 0.000 0.500 0.000
La 0.000 0.500 0.500
La 0.258 0.258 0.249
La 0.258 0.258 0.751
La 0.258 0.742 0.249
La 0.258 0.742 0.751
La 0.500 0.000 0.000
La 0.500 0.000 0.500
La 0.500 0.500 0.500
La 0.742 0.258 0.249
La 0.742 0.258 0.751
La 0.742 0.742 0.249
La 0.742 0.742 0.751
Cd 0.500 0.500 0.000
CELL_PARAMETERS angstrom
7.399 0.000 0.000
0.000 7.399 0.000
0.000 0.000 10.448
```

Output
The symmetry is P4/mmm. For the calculated volume, the calculation gives 572 Å³/cell.

***

VASP calculation (PBE) on a geometry-optimized Ca3LaCd8 structure. Values from VASP.

Quantum ESPRESSO input file:
```
&SYSTEM
  ibrav = 0, nat = 12, ntyp = 3
/
ATOMIC_SPECIES
Ca 40.08 Ca.upf
La 138.91 La.upf
Cd 112.41 Cd.upf
ATOMIC_POSITIONS crystal
Ca 0.000 0.000 0.000
Ca 0.000 0.000 0.381
Ca 0.333 0.667 0.883
La 0.333 0.667 0.503
Cd 0.008 0.504 0.191
Cd 0.326 0.163 0.692
Cd 0.496 0.504 0.191
Cd 0.496 0.992 0.191
Cd 0.667 0.333 0.442
Cd 0.667 0.333 0.943
Cd 0.837 0.163 0.692
Cd 0.837 0.674 0.692
CELL_PARAMETERS angstrom
6.103 0.000 0.000
-3.052 5.286 0.000
0.000 0.000 9.625
```

Output
The symmetry is P3m1. For the calculated volume, the calculation gives 310 Å³/cell.

***

Number 1: ΔE_f -325 meV per atom. Number 2: ΔE_f 69 meV per atom. Number 3: ΔE_f -145 meV per atom. Number 4: ΔE_f -212 meV per atom. Number 5: ΔE_f 92 meV per atom. Number 6: ΔE_f -269 meV per atom. Number 7: ΔE_f -10 meV per atom. Number 8: ΔE_f -325 meV per atom.